A plane-wave DFT calculation with PBE-GGA was carried out for a relaxed structure of TbGdHgPd.

a = 7.2799 Å, b = 7.2799 Å, c = 7.2799 Å
α = 90.00°, β = 90.00°, γ = 90.00°
Closest atoms and distances in Å follow each position.
Space group F-43m (No. 216)
One atom of each set of equivalent atoms:
1 Tb 0.0000 0.0000 0.0000 [4 per cell]  4 Hg 3.15, 4 Pd 3.15
2 Gd 0.0000 0.0000 0.5000 [4 per cell]  4 Pd 3.15, 4 Hg 3.15
3 Hg 0.2500 0.2500 0.2500 [4 per cell]  4 Gd 3.15, 4 Tb 3.15
4 Pd 0.2500 0.2500 0.7500 [4 per cell]  4 Gd 3.15, 4 Tb 3.15

A plane-wave DFT calculation with PBE-GGA was carried out for a relaxed structure of ZrBe2As.

a = 3.8679 Å, b = 3.8679 Å, c = 3.7360 Å
α = 90.00°, β = 90.00°, γ = 90.00°
Closest atoms and distances in Å follow each position.
Space group P4/mmm (No. 123)
One atom of each set of equivalent atoms:
1 Zr 0.0000 0.0000 0.0000 [1 per cell]  8 Be 2.69, 4 As 2.74
2 Be 0.0000 0.5000 0.5000 [2 per cell]  4 Zr 2.69, 4 As 2.69, 4 Be 2.74
3 As 0.5000 0.5000 0.0000 [1 per cell]  8 Be 2.69, 4 Zr 2.74

A plane-wave DFT calculation with PBE-GGA was carried out for a relaxed structure of Ac6TlRh4.

a = 4.3165 Å, b = 14.5054 Å, c = 22.3690 Å
α = 90.00°, β = 90.00°, γ = 90.00°
Closest atoms and distances in Å follow each position.
Space group Cmcm (No. 63)
One atom of each set of equivalent atoms:
1 Ac 0.0000 0.0000 0.0000 [4 per cell]  6 Rh 3.08-3.19
2 Ac 0.0000 0.1540 0.2500 [4 per cell]  2 Rh 2.86
3 Ac 0.0000 0.2688 0.5831 [8 per cell]  5 Rh 3.02-3.11
4 Ac 0.0000 0.4614 0.1525 [8 per cell]  3 Rh 2.86-2.99
5 Tl 0.0000 0.1597 0.7500 [4 per cell]  6 Ac 3.46-3.54
6 Rh 0.0000 0.0987 0.1273 [8 per cell]  6 Ac 2.86-3.19
7 Rh 0.0000 0.3626 0.0419 [8 per cell]  6 Ac 2.86-3.11

A plane-wave DFT calculation with PBE-GGA was carried out for a relaxed structure of NaTl2CdHg.

a = 4.7135 Å, b = 4.7135 Å, c = 13.8678 Å
α = 90.00°, β = 90.00°, γ = 90.00°
Closest atoms and distances in Å follow each position.
Space group I4mm (No. 107)
One atom of each set of equivalent atoms:
1 Na 0.0000 0.0000 0.0000 [2 per cell]  4 Hg 3.54, 4 Cd 3.69
2 Tl 0.0000 0.5000 0.2609 [4 per cell]  2 Cd 3.11, 2 Hg 3.17, 4 Tl 3.33
3 Cd 0.0000 0.0000 0.6141 [2 per cell]  1 Hg 2.77
4 Hg 0.0000 0.0000 0.4140 [2 per cell]  1 Cd 2.77

Record order is preserved below.
Uncorrected energy: -106.95, -21.33, -251.29, -14.63 eV per cell
Record order is preserved below.
Formation enthalpy at 0 K: -0.633, -0.170, -0.582, -0.009 eV/atom